Density functional theory data (PBE-GGA) for a relaxed Ba2ErOsSe6 crystal.

a b c (Å): 7.3416 7.3416 7.3450
angles (deg): 120.01 120.01 59.99
Atoms (fractional coordinates):
Se (0.2655, 0.7440, 0.7437)
Se (0.2560, 0.7345, 0.2563)
Se (0.7440, 0.2655, 0.7437)
Se (0.7391, 0.7391, 0.7295)
Se (0.7345, 0.2560, 0.2563)
Se (0.2609, 0.2609, 0.2705)
Ba (0.2501, 0.2501, 0.7500)
Ba (0.7499, 0.7499, 0.2500)
Er (0.0000, 0.0000, 0.0000)
Os (0.5000, 0.5000, 0.5000)

Properties
Energy above the lowest structure with this stoichiometry in meV/atom: 26.9


Density functional theory data (PBE-GGA) for a relaxed Ba2ErOsSe6 crystal.

a b c (Å): 7.3853 7.3853 7.3853
angles (deg): 121.71 121.71 87.07
Atoms (fractional coordinates):
Se (0.7374, 0.7374, 0.0000)
Se (0.7977, 0.6785, 0.4762)
Se (0.2023, 0.3215, 0.5238)
Se (0.6785, 0.2023, 0.8807)
Se (0.2626, 0.2626, 0.0000)
Se (0.3215, 0.7977, 0.1193)
Ba (0.2500, 0.7500, 0.5000)
Ba (0.7500, 0.2500, 0.5000)
Os (0.5000, 0.5000, 0.0000)
Er (0.0000, 0.0000, 0.0000)

Properties
Energy above the lowest structure with this stoichiometry in meV/atom: 0.0


Density functional theory data (PBE-GGA) for a relaxed Ba2ErOsSe6 crystal.

a b c (Å): 7.2042 7.2492 7.2973
angles (deg): 62.24 61.40 60.78
Atoms (fractional coordinates):
Se (0.7879, 0.7320, 0.1887)
Se (0.2710, 0.1663, 0.3093)
Se (0.6997, 0.2769, 0.7930)
Se (0.7290, 0.8337, 0.6907)
Se (0.3003, 0.7231, 0.2070)
Se (0.2121, 0.2680, 0.8113)
Er (0.0000, 0.5000, 0.5000)
Ba (0.7493, 0.2538, 0.2456)
Ba (0.2507, 0.7462, 0.7543)
Os (0.5000, 0.0000, 0.0000)

Properties
Energy above the lowest structure with this stoichiometry in meV/atom: 0.7


Density functional theory data (PBE-GGA) for a relaxed BaEr2P2 crystal.

a b c (Å): 4.5067 4.5067 8.1781
angles (deg): 90.00 90.00 120.00
Atoms (fractional coordinates):
Ba (0.0000, 0.0000, 0.0000)
P (0.6667, 0.3333, 0.7338)
P (0.3333, 0.6667, 0.2662)
Er (0.6667, 0.3333, 0.3679)
Er (0.3333, 0.6667, 0.6321)

Properties
Energy above the lowest structure with this stoichiometry in meV/atom: 0.0


Density functional theory data (PBE-GGA) for a relaxed BaEr2P2 crystal.

a b c (Å): 8.9349 8.9349 7.4281
angles (deg): 90.00 90.00 90.00
Atoms (fractional coordinates):
P (0.2603, 0.7274, 0.3546)
P (0.7397, 0.7274, 0.3546)
P (0.2726, 0.7397, 0.8546)
P (0.7397, 0.2726, 0.3546)
P (0.7274, 0.7397, 0.8546)
P (0.2726, 0.2603, 0.8546)
P (0.2603, 0.2726, 0.3546)
P (0.7274, 0.2603, 0.8546)
Er (0.1940, 0.5000, 0.0943)
Er (0.5000, 0.8060, 0.5943)
Er (0.3224, 0.5000, 0.6254)
Er (0.6776, 0.5000, 0.6254)
Er (0.5000, 0.1940, 0.5943)
Er (0.5000, 0.3224, 0.1254)
Er (0.5000, 0.6776, 0.1254)
Er (0.8060, 0.5000, 0.0943)
Ba (0.5000, 0.0000, 0.0125)
Ba (0.0000, 0.0000, 0.6421)
Ba (0.0000, 0.0000, 0.1421)
Ba (0.0000, 0.5000, 0.5125)

Properties
Energy above the lowest structure with this stoichiometry in meV/atom: 380.4


Density functional theory data (PBE-GGA) for a relaxed Ba3Er2P4S16 crystal.

a b c (Å): 19.2678 10.3308 12.6705
angles (deg): 90.00 90.00 90.00
Atoms (fractional coordinates):
S (0.8329, 0.0042, 0.5135)
S (0.6911, 0.7900, 0.8856)
S (0.0678, 0.8197, 0.3298)
S (0.1472, 0.4299, 0.3863)
S (0.6671, 0.4958, 0.0135)
S (0.3490, 0.5652, 0.2288)
S (0.4322, 0.6803, 0.8298)
S (0.9682, 0.6211, 0.4153)
S (0.3528, 0.0701, 0.8863)
S (0.6510, 0.5652, 0.2712)
S (0.6498, 0.8840, 0.3941)
S (0.9682, 0.3789, 0.9153)
S (0.3089, 0.7900, 0.6144)
S (0.3502, 0.1160, 0.6059)
S (0.5678, 0.6803, 0.6702)
S (0.5318, 0.1211, 0.4153)
S (0.3329, 0.4958, 0.4865)
S (0.9843, 0.1122, 0.0981)
S (0.8490, 0.0652, 0.2712)
S (0.0318, 0.3789, 0.5847)
S (0.0318, 0.6211, 0.0847)
S (0.1510, 0.9348, 0.7288)
S (0.4682, 0.8789, 0.5847)
S (0.0157, 0.1122, 0.4019)
S (0.9322, 0.8197, 0.1702)
S (0.8502, 0.3840, 0.3941)
S (0.8089, 0.7100, 0.3856)
S (0.1510, 0.0652, 0.2288)
S (0.1911, 0.2900, 0.6144)
S (0.6472, 0.0701, 0.6137)
S (0.6472, 0.9299, 0.1137)
S (0.9322, 0.1803, 0.6702)
S (0.1911, 0.7100, 0.1144)
S (0.8490, 0.9348, 0.7712)
S (0.4843, 0.3878, 0.9019)
S (0.1498, 0.3840, 0.1059)
S (0.1671, 0.0042, 0.9865)
S (0.8329, 0.9958, 0.0135)
S (0.5318, 0.8789, 0.9153)
S (0.1498, 0.6160, 0.6059)
S (0.4843, 0.6122, 0.4019)
S (0.6671, 0.5042, 0.5135)
S (0.4682, 0.1211, 0.0847)
S (0.5157, 0.3878, 0.5981)
S (0.8528, 0.4299, 0.1137)
S (0.8528, 0.5701, 0.6137)
S (0.1671, 0.9958, 0.4865)
S (0.4322, 0.3197, 0.3298)
S (0.8089, 0.2900, 0.8856)
S (0.3089, 0.2100, 0.1144)
S (0.6911, 0.2100, 0.3856)
S (0.3490, 0.4348, 0.7288)
S (0.6498, 0.1160, 0.8941)
S (0.3502, 0.8840, 0.1059)
S (0.5157, 0.6122, 0.0981)
S (0.0157, 0.8878, 0.9019)
S (0.8502, 0.6160, 0.8941)
S (0.5678, 0.3197, 0.1702)
S (0.3528, 0.9299, 0.3863)
S (0.9843, 0.8878, 0.5981)
S (0.0678, 0.1803, 0.8298)
S (0.6510, 0.4348, 0.7712)
S (0.3329, 0.5042, 0.9865)
S (0.1472, 0.5701, 0.8863)
Ba (0.2731, 0.2108, 0.3902)
Ba (0.0000, 0.6180, 0.7500)
Ba (0.7269, 0.2108, 0.1098)
Ba (0.5000, 0.8820, 0.2500)
Ba (0.7731, 0.7108, 0.1098)
Ba (0.7731, 0.2892, 0.6098)
Ba (0.2269, 0.2892, 0.8902)
Ba (0.7269, 0.7892, 0.6098)
Ba (0.2731, 0.7892, 0.8902)
Ba (0.0000, 0.3820, 0.2500)
Ba (0.2269, 0.7108, 0.3902)
Ba (0.5000, 0.1180, 0.7500)
P (0.3689, 0.9371, 0.5478)
P (0.6020, 0.4952, 0.6400)
P (0.1020, 0.0048, 0.3600)
P (0.3980, 0.4952, 0.8600)
P (0.1020, 0.9952, 0.8600)
P (0.1311, 0.4371, 0.5478)
P (0.1311, 0.5629, 0.0478)
P (0.6311, 0.9371, 0.9522)
P (0.3689, 0.0629, 0.0478)
P (0.6020, 0.5048, 0.1400)
P (0.8689, 0.4371, 0.9522)
P (0.8689, 0.5629, 0.4522)
P (0.8980, 0.9952, 0.6400)
P (0.8980, 0.0048, 0.1400)
P (0.6311, 0.0629, 0.4522)
P (0.3980, 0.5048, 0.3600)
Er (0.9266, 0.1284, 0.8874)
Er (0.4266, 0.6284, 0.6126)
Er (0.4266, 0.3716, 0.1126)
Er (0.0734, 0.8716, 0.1126)
Er (0.9266, 0.8716, 0.3874)
Er (0.5734, 0.3716, 0.3874)
Er (0.5734, 0.6284, 0.8874)
Er (0.0734, 0.1284, 0.6126)

Properties
Uncorrected energy in eV per atom: -5.271


Density functional theory data (PBE-GGA) for a relaxed BaErPa crystal.

a b c (Å): 5.3520 5.3520 5.3520
angles (deg): 60.00 60.00 60.00
Atoms (fractional coordinates):
Er (0.2500, 0.2500, 0.2500)
Ba (0.0000, 0.0000, 0.0000)
Pa (0.7500, 0.7500, 0.7500)

Properties
Uncorrected energy in eV per atom: -3.856


Density functional theory data (PBE-GGA) for a relaxed BaErPd crystal.

a b c (Å): 5.0494 5.0494 5.0494
angles (deg): 60.00 60.00 60.00
Atoms (fractional coordinates):
Er (0.2500, 0.2500, 0.2500)
Ba (0.0000, 0.0000, 0.0000)
Pd (0.7500, 0.7500, 0.7500)

Properties
Energy above the lowest structure with this stoichiometry in meV/atom: 752.4


Density functional theory data (PBE-GGA) for a relaxed BaErPd crystal.

a b c (Å): 5.1733 5.1733 5.1733
angles (deg): 60.00 60.00 60.00
Atoms (fractional coordinates):
Ba (0.0000, 0.0000, 0.0000)
Pd (0.7500, 0.7500, 0.7500)
Er (0.5000, 0.5000, 0.5000)

Properties
Energy above the lowest structure with this stoichiometry in meV/atom: 0.0


Density functional theory data (PBE-GGA) for a relaxed BaErPdSe3 crystal.

a b c (Å): 14.2341 4.2120 10.8107
angles (deg): 90.00 90.00 90.00
Atoms (fractional coordinates):
Se (0.0977, 0.2500, 0.4242)
Se (0.6478, 0.7500, 0.7606)
Se (0.4062, 0.2500, 0.6192)
Se (0.1478, 0.7500, 0.7394)
Se (0.3522, 0.2500, 0.2394)
Se (0.5938, 0.7500, 0.3808)
Se (0.0938, 0.7500, 0.1192)
Se (0.9023, 0.7500, 0.5758)
Se (0.4023, 0.7500, 0.9242)
Se (0.9062, 0.2500, 0.8808)
Se (0.5977, 0.2500, 0.0758)
Se (0.8522, 0.2500, 0.2606)
Er (0.4761, 0.7500, 0.1677)
Er (0.9761, 0.7500, 0.3323)
Er (0.0239, 0.2500, 0.6677)
Er (0.5239, 0.2500, 0.8323)
Pd (0.4992, 0.7500, 0.5886)
Pd (0.5008, 0.2500, 0.4114)
Pd (0.9992, 0.7500, 0.9114)
Pd (0.0008, 0.2500, 0.0886)
Ba (0.7707, 0.7500, 0.0446)
Ba (0.2293, 0.2500, 0.9554)
Ba (0.7293, 0.2500, 0.5446)
Ba (0.2707, 0.7500, 0.4554)

Properties
Uncorrected energy in eV per atom: -5.214


Density functional theory data (PBE-GGA) for a relaxed BaPmEr crystal.

a b c (Å): 5.8111 5.8111 5.8111
angles (deg): 60.00 60.00 60.00
Atoms (fractional coordinates):
Er (0.0000, 0.0000, 0.0000)
Ba (0.2500, 0.2500, 0.2500)
Pm (0.7500, 0.7500, 0.7500)

Properties
Energy above the lowest structure with this stoichiometry in meV/atom: 0.0


Density functional theory data (PBE-GGA) for a relaxed BaPrEr crystal.

a b c (Å): 5.8510 5.8510 5.8510
angles (deg): 60.00 60.00 60.00
Atoms (fractional coordinates):
Er (0.0000, 0.0000, 0.0000)
Ba (0.2500, 0.2500, 0.2500)
Pr (0.7500, 0.7500, 0.7500)

Properties
Energy above the lowest structure with this stoichiometry in meV/atom: 0.0